Entry from Alexandria via LeMat-Bulk: crystalline CeNi2Rh at its relaxed geometry (PBE).

For the energy of formation from the pure elements, the calculation gives -0.30 eV per atom. The magnetization is 0.21 Bohr magnetons per cell. Its total energy is -0.4784 Ry/atom.

Geometry as CIF:
```
data_CeNi2Rh
_chemical_formula_sum 'Ce4 Ni8 Rh4'
_cell_length_a 4.7462
_cell_length_b 4.5680
_cell_length_c 12.5341
_cell_angle_alpha 90.00
_cell_angle_beta 90.00
_cell_angle_gamma 90.00
_space_group_name_H-M_alt 'P 1'
_space_group_IT_number 1
loop_
_space_group_symop_operation_xyz
'x,y,z'
loop_
_atom_site_label
_atom_site_type_symbol
_atom_site_fract_x
_atom_site_fract_y
_atom_site_fract_z
Ce1 Ce 0.2500 0.0000 0.1005
Ce2 Ce 0.2500 0.5000 0.3338
Ce3 Ce 0.7500 0.0000 0.8995
Ce4 Ce 0.7500 0.5000 0.6662
Ni1 Ni 0.0000 0.0000 0.5000
Ni2 Ni 0.0000 0.5000 0.0000
Ni3 Ni 0.2500 0.2561 0.8537
Ni4 Ni 0.2500 0.7439 0.8537
Ni5 Ni 0.5000 0.0000 0.5000
Ni6 Ni 0.5000 0.5000 0.0000
Ni7 Ni 0.7500 0.2561 0.1463
Ni8 Ni 0.7500 0.7439 0.1463
Rh1 Rh 0.2500 0.0000 0.6821
Rh2 Rh 0.2500 0.5000 0.5606
Rh3 Rh 0.7500 0.0000 0.3179
Rh4 Rh 0.7500 0.5000 0.4394
```

Entry from Alexandria via LeMat-Bulk: crystalline LiPm3Si2 at its relaxed geometry (PBE).

Its excess energy over the best structure of this formula in the dataset is 164 meV/atom. The magnetization is 0.00 Bohr magnetons per cell. Its total energy is -0.3574 Ry/atom. Its formation energy (no corrections) is -0.360 eV per atom.

Geometry as CIF:
```
data_LiPm3Si2
_chemical_formula_sum 'Li2 Pm6 Si4'
_cell_length_a 7.6021
_cell_length_b 7.6021
_cell_length_c 7.6021
_cell_angle_alpha 62.21
_cell_angle_beta 62.21
_cell_angle_gamma 62.21
_space_group_name_H-M_alt 'P 1'
_space_group_IT_number 1
loop_
_space_group_symop_operation_xyz
'x,y,z'
loop_
_atom_site_label
_atom_site_type_symbol
_atom_site_fract_x
_atom_site_fract_y
_atom_site_fract_z
Li1 Li 0.0000 0.0000 0.0000
Li2 Li 0.5000 0.5000 0.5000
Pm1 Pm 0.0300 0.7500 0.4700
Pm2 Pm 0.2500 0.5300 0.9700
Pm3 Pm 0.4700 0.0300 0.7500
Pm4 Pm 0.5300 0.9700 0.2500
Pm5 Pm 0.7500 0.4700 0.0300
Pm6 Pm 0.9700 0.2500 0.5300
Si1 Si 0.1375 0.1375 0.1375
Si2 Si 0.3625 0.3625 0.3625
Si3 Si 0.6375 0.6375 0.6375
Si4 Si 0.8625 0.8625 0.8625
```

Entry from Alexandria via LeMat-Bulk: crystalline Cs12Na3Se5 at its relaxed geometry (PBE).

The magnetization is 4.81 Bohr magnetons per cell. Its total energy is -0.1615 Ry/atom. Its formation energy (no corrections) is -0.617 eV per atom.

Geometry as CIF:
```
data_Cs12Na3Se5
_chemical_formula_sum 'Cs48 Na12 Se20'
_cell_length_a 19.7198
_cell_length_b 19.7198
_cell_length_c 19.7198
_cell_angle_alpha 109.47
_cell_angle_beta 109.47
_cell_angle_gamma 109.47
_space_group_name_H-M_alt 'P 1'
_space_group_IT_number 1
loop_
_space_group_symop_operation_xyz
'x,y,z'
loop_
_atom_site_label
_atom_site_type_symbol
_atom_site_fract_x
_atom_site_fract_y
_atom_site_fract_z
Cs1 Cs 0.0144 0.1953 0.1027
Cs2 Cs 0.0144 0.3191 0.9117
Cs3 Cs 0.0883 0.6027 0.4074
Cs4 Cs 0.0883 0.9856 0.6809
Cs5 Cs 0.0926 0.6953 0.6809
Cs6 Cs 0.0926 0.8973 0.4117
Cs7 Cs 0.1027 0.0144 0.1953
Cs8 Cs 0.1027 0.5883 0.9074
Cs9 Cs 0.1809 0.1953 0.5926
Cs10 Cs 0.1809 0.4856 0.5883
Cs11 Cs 0.1953 0.1027 0.0144
Cs12 Cs 0.1953 0.5926 0.1809
Cs13 Cs 0.3047 0.3191 0.9074
Cs14 Cs 0.3047 0.4856 0.3973
Cs15 Cs 0.3191 0.9074 0.3047
Cs16 Cs 0.3191 0.9117 0.0144
Cs17 Cs 0.3973 0.3047 0.4856
Cs18 Cs 0.3973 0.5926 0.9117
Cs19 Cs 0.4074 0.0883 0.6027
Cs20 Cs 0.4074 0.8191 0.8047
Cs21 Cs 0.4117 0.0926 0.8973
Cs22 Cs 0.4117 0.8191 0.5144
Cs23 Cs 0.4856 0.3973 0.3047
Cs24 Cs 0.4856 0.5883 0.1809
Cs25 Cs 0.5144 0.4117 0.8191
Cs26 Cs 0.5144 0.6027 0.6953
Cs27 Cs 0.5883 0.1809 0.4856
Cs28 Cs 0.5883 0.9074 0.1027
Cs29 Cs 0.5926 0.1809 0.1953
Cs30 Cs 0.5926 0.9117 0.3973
Cs31 Cs 0.6027 0.4074 0.0883
Cs32 Cs 0.6027 0.6953 0.5144
Cs33 Cs 0.6809 0.0883 0.9856
Cs34 Cs 0.6809 0.0926 0.6953
Cs35 Cs 0.6953 0.5144 0.6027
Cs36 Cs 0.6953 0.6809 0.0926
Cs37 Cs 0.8047 0.4074 0.8191
Cs38 Cs 0.8047 0.8973 0.9856
Cs39 Cs 0.8191 0.5144 0.4117
Cs40 Cs 0.8191 0.8047 0.4074
Cs41 Cs 0.8973 0.4117 0.0926
Cs42 Cs 0.8973 0.9856 0.8047
Cs43 Cs 0.9074 0.1027 0.5883
Cs44 Cs 0.9074 0.3047 0.3191
Cs45 Cs 0.9117 0.0144 0.3191
Cs46 Cs 0.9117 0.3973 0.5926
Cs47 Cs 0.9856 0.6809 0.0883
Cs48 Cs 0.9856 0.8047 0.8973
Na1 Na 0.1250 0.2500 0.3750
Na2 Na 0.1250 0.3750 0.7500
Na3 Na 0.2500 0.3750 0.1250
Na4 Na 0.2500 0.8750 0.6250
Na5 Na 0.3750 0.1250 0.2500
Na6 Na 0.3750 0.7500 0.1250
Na7 Na 0.6250 0.2500 0.8750
Na8 Na 0.6250 0.8750 0.7500
Na9 Na 0.7500 0.1250 0.3750
Na10 Na 0.7500 0.6250 0.8750
Na11 Na 0.8750 0.6250 0.2500
Na12 Na 0.8750 0.7500 0.6250
Se1 Se 0.0000 0.0000 0.0000
Se2 Se 0.0000 0.0000 0.5000
Se3 Se 0.0000 0.5000 0.0000
Se4 Se 0.0000 0.5000 0.5000
Se5 Se 0.1250 0.7500 0.8750
Se6 Se 0.1250 0.8750 0.2500
Se7 Se 0.2500 0.1250 0.8750
Se8 Se 0.2500 0.6250 0.3750
Se9 Se 0.3750 0.2500 0.6250
Se10 Se 0.3750 0.6250 0.7500
Se11 Se 0.5000 0.0000 0.0000
Se12 Se 0.5000 0.0000 0.5000
Se13 Se 0.5000 0.5000 0.0000
Se14 Se 0.5000 0.5000 0.5000
Se15 Se 0.6250 0.3750 0.2500
Se16 Se 0.6250 0.7500 0.3750
Se17 Se 0.7500 0.3750 0.6250
Se18 Se 0.7500 0.8750 0.1250
Se19 Se 0.8750 0.1250 0.7500
Se20 Se 0.8750 0.2500 0.1250
```

Question: The lowest magnetization belongs to which entry?
Answer: LiPm3Si2

Question: Which formula does entry 3 have?
Answer: Cs12Na3Se5

Question: Which of these has the highest magnetization?
Answer: Cs12Na3Se5